Entry a
{
  "formula": "Li3Te",
  "functional": "GGA-PBE",
  "state": "relaxed",
  "spacegroup": "P6_3/mmc, No. 194",
  "rho_g_cm3": 3.211,
  "cell": [[-2.539, 3.910, 4.126], [-1.398, -6.064, 0.188], [3.509, -0.721, 2.842]],
  "species": ["Li", "Li", "Li", "Li", "Li", "Li", "Te", "Te"],
  "frac_coords": [[0.666, 0.833, 0.250], [0.167, 0.334, 0.250], [0.167, 0.833, 0.250], [0.833, 0.167, 0.750], [0.833, 0.666, 0.750], [0.334, 0.167, 0.750], [0.667, 0.333, 0.250], [0.333, 0.667, 0.750]]
}

---

Entry b
{
  "formula": "Li3Te",
  "functional": "GGA-PBE",
  "state": "relaxed",
  "spacegroup": "P6_3/mmc, No. 194",
  "rho_g_cm3": 3.312,
  "cell": [[5.980, 0.000, 0.000], [-2.990, 5.179, 0.000], [0.000, 0.000, 14.415]],
  "species": ["Li", "Li", "Li", "Li", "Li", "Li", "Li", "Li", "Li", "Li", "Li", "Li", "Li", "Li", "Li", "Li", "Li", "Li", "Te", "Te", "Te", "Te", "Te", "Te"],
  "frac_coords": [[0.995, 0.497, 0.750], [0.497, 0.503, 0.250], [0.671, 0.835, 0.584], [0.835, 0.165, 0.084], [0.329, 0.165, 0.084], [0.497, 0.995, 0.250], [0.165, 0.329, 0.584], [0.005, 0.503, 0.250], [0.165, 0.835, 0.584], [0.835, 0.671, 0.084], [0.835, 0.165, 0.416], [0.835, 0.671, 0.416], [0.671, 0.835, 0.916], [0.329, 0.165, 0.416], [0.165, 0.329, 0.916], [0.503, 0.497, 0.750], [0.503, 0.005, 0.750], [0.165, 0.835, 0.916], [0.667, 0.333, 0.915], [0.000, 0.000, 0.250], [0.333, 0.667, 0.415], [0.667, 0.333, 0.585], [0.333, 0.667, 0.085], [0.000, 0.000, 0.750]]
}

---

Of the structures shown above, entry a is the most stable.